Entry 1:
Computed, not measured: a geometry-optimized Ag2RhBr structure at the PBE level of DFT.

Unit cell a=3.3140 b=3.3140 c=6.8329 alpha=90.00 beta=90.00 gamma=90.00
Atoms (fractional coordinates):
Ag  0.0000  0.0000  0.0000
Ag  0.5000  0.5000  0.2332
Rh  0.5000  0.5000  0.7734
Br  0.0000  0.0000  0.5358

Summary:
Energy above the most stable polymorph in this dataset, eV/atom: 0.105
Total magnetization, μB per cell: 1.08
E, Ry/atom: -0.24534
SG: No. 99

Entry 2:
Computed, not measured: a geometry-optimized Ag2RhBr structure at the PBE level of DFT.

Unit cell a=6.6825 b=6.6825 c=6.6825 alpha=153.25 beta=140.45 gamma=48.39
Atoms (fractional coordinates):
Ag  0.0000  0.0000  0.0000
Ag  0.6361  0.1361  0.5000
Rh  0.4424  0.4424  0.0000
Br  0.2859  0.7859  0.5000

Summary:
Energy above the most stable polymorph in this dataset, eV/atom: 0.007
Total magnetization, μB per cell: 0.00
E, Ry/atom: -0.25256
SG: No. 44

Entry 3:
Computed, not measured: a geometry-optimized Ag2RhBr structure at the PBE level of DFT.

Unit cell a=5.4072 b=5.4072 c=4.6696 alpha=104.48 beta=104.48 gamma=34.01
Atoms (fractional coordinates):
Ag  0.2372  0.2372  0.2360
Ag  0.7628  0.7628  0.7640
Rh  0.5000  0.5000  0.0000
Br  0.0000  0.0000  0.5000

Summary:
Energy above the most stable polymorph in this dataset, eV/atom: 0.154
Total magnetization, μB per cell: 0.00
E, Ry/atom: -0.24172
SG: No. 12

Entry 4:
Computed, not measured: a geometry-optimized Ag2RhBr structure at the PBE level of DFT.

Unit cell a=4.7644 b=4.7644 c=4.7644 alpha=60.00 beta=60.00 gamma=60.00
Atoms (fractional coordinates):
Ag  0.2500  0.2500  0.2500
Ag  0.7500  0.7500  0.7500
Rh  0.0000  0.0000  0.0000
Br  0.5000  0.5000  0.5000

Summary:
Energy above the most stable polymorph in this dataset, eV/atom: 0.341
Total magnetization, μB per cell: 0.73
E, Ry/atom: -0.22795
SG: No. 225

Entry 5:
Computed, not measured: a geometry-optimized AgRhBr3 structure at the PBE level of DFT.

Unit cell a=5.0737 b=5.0737 c=5.0737 alpha=90.00 beta=90.00 gamma=90.00
Atoms (fractional coordinates):
Ag  0.0000  0.0000  0.0000
Rh  0.5000  0.5000  0.5000
Br  0.0000  0.5000  0.5000
Br  0.5000  0.0000  0.5000
Br  0.5000  0.5000  0.0000

Summary:
Energy above the most stable polymorph in this dataset, eV/atom: 0.000
Total magnetization, μB per cell: 0.00
E, Ry/atom: -0.21979
SG: No. 221

Entry 6:
Computed, not measured: a geometry-optimized Sm6AgRh2Br3 structure at the PBE level of DFT.

Unit cell a=7.1929 b=7.1929 c=8.0876 alpha=98.47 beta=98.47 gamma=120.05
Atoms (fractional coordinates):
Sm  0.0778  0.4333  0.7998
Sm  0.2103  0.2103  0.1996
Sm  0.4333  0.0778  0.7998
Sm  0.5667  0.9222  0.2002
Sm  0.7897  0.7897  0.8004
Sm  0.9222  0.5667  0.2002
Ag  0.5000  0.5000  0.0000
Rh  0.1668  0.8332  0.0000
Rh  0.8332  0.1668  0.0000
Br  0.0000  0.0000  0.5000
Br  0.3324  0.6676  0.5000
Br  0.6676  0.3324  0.5000

Summary:
Total magnetization, μB per cell: 0.00
E, Ry/atom: -0.38031
SG: No. 12

Entry 7:
Computed, not measured: a geometry-optimized Tl2AgRhBr structure at the PBE level of DFT.

Unit cell a=5.3629 b=5.3629 c=5.0341 alpha=90.00 beta=90.00 gamma=90.00
Atoms (fractional coordinates):
Tl  0.0000  0.5000  0.0000
Tl  0.5000  0.0000  0.0000
Ag  0.0000  0.0000  0.5000
Rh  0.5000  0.5000  0.0000
Br  0.5000  0.5000  0.5000

Summary:
Total magnetization, μB per cell: 0.00
E, Ry/atom: -0.22950
SG: No. 123

Entry 8:
Computed, not measured: a geometry-optimized TlAg2RhBr6 structure at the PBE level of DFT.

Unit cell a=8.3045 b=8.3045 c=8.3045 alpha=50.47 beta=50.47 gamma=50.47
Atoms (fractional coordinates):
Tl  0.0000  0.0000  0.0000
Ag  0.1710  0.1710  0.1710
Ag  0.8290  0.8290  0.8290
Rh  0.5000  0.5000  0.5000
Br  0.1404  0.4374  0.7219
Br  0.2781  0.8596  0.5626
Br  0.4374  0.7219  0.1404
Br  0.5626  0.2781  0.8596
Br  0.7219  0.1404  0.4374
Br  0.8596  0.5626  0.2781

Summary:
Total magnetization, μB per cell: 0.00
E, Ry/atom: -0.22008
SG: No. 148

Entry 9:
Computed, not measured: a geometry-optimized AgRuBr2 structure at the PBE level of DFT.

Unit cell a=3.5602 b=3.5602 c=7.6156 alpha=90.00 beta=90.00 gamma=90.00
Atoms (fractional coordinates):
Ag  0.0000  0.0000  0.0000
Ru  0.5000  0.5000  0.8101
Br  0.0000  0.0000  0.6097
Br  0.5000  0.5000  0.1705

Summary:
Energy above the most stable polymorph in this dataset, eV/atom: 0.233
Total magnetization, μB per cell: 3.01
E, Ry/atom: -0.25386
SG: No. 99

Entry 10:
Computed, not measured: a geometry-optimized Ag2RuBr5 structure at the PBE level of DFT.

Unit cell a=7.0811 b=7.0811 c=5.5125 alpha=111.51 beta=111.51 gamma=81.28
Atoms (fractional coordinates):
Ag  0.2155  0.7845  0.0000
Ag  0.7845  0.2155  0.0000
Ru  0.2132  0.2132  0.5722
Br  0.2017  0.2017  0.0457
Br  0.4792  0.4792  0.8213
Br  0.4885  0.9467  0.5678
Br  0.9451  0.9451  0.3011
Br  0.9467  0.4885  0.5678

Summary:
Total magnetization, μB per cell: 2.03
E, Ry/atom: -0.22725
SG: No. 8

Entry 11:
Computed, not measured: a geometry-optimized AgRuBr2 structure at the PBE level of DFT.

Unit cell a=5.1419 b=3.8075 c=5.3878 alpha=90.00 beta=118.38 gamma=90.00
Atoms (fractional coordinates):
Ag  0.0000  0.0000  0.0000
Ru  0.7882  0.5000  0.5786
Br  0.2557  0.5000  0.5133
Br  0.6267  0.0000  0.2541

Summary:
Energy above the most stable polymorph in this dataset, eV/atom: 0.179
Total magnetization, μB per cell: 0.00
E, Ry/atom: -0.25781
SG: No. 6

Entry 12:
Computed, not measured: a geometry-optimized Ag3RuBr structure at the PBE level of DFT.

Unit cell a=5.1546 b=5.1546 c=5.1546 alpha=90.00 beta=90.00 gamma=90.00
Atoms (fractional coordinates):
Ag  0.0000  0.0000  0.5000
Ag  0.0000  0.5000  0.0000
Ag  0.5000  0.0000  0.0000
Ru  0.0000  0.0000  0.0000
Br  0.5000  0.5000  0.5000

Summary:
Energy above the most stable polymorph in this dataset, eV/atom: 0.000
Total magnetization, μB per cell: 2.14
E, Ry/atom: -0.20440
SG: No. 221